No. 1
Here is a relaxed structure of AlCdRuCl2 from Alexandria via LeMat-Bulk. Energies are from PBE.

Summary:
Total moment: 1.6 μB/cell
Uncorrected formation energy: 322.7 meV/atom
Space group: P4/mmm (123)

a = 4.6360 Å, b = 5.2642 Å, c = 4.6360 Å
α = 90.00°, β = 90.00°, γ = 90.00°
Fractional positions:
1 Cl 0.5000 0.0000 0.0000
2 Cd 0.5000 0.5000 0.5000
3 Cl 0.0000 0.0000 0.5000
4 Al 0.0000 0.0000 0.0000
5 Ru 0.0000 0.5000 0.0000



No. 2
Here is a relaxed structure of Li3P from Alexandria via LeMat-Bulk. Energies are from PBE.

Summary:
Total moment: 0.0 μB/cell
ΔE_f: -0.261 eV/atom
Space group: R-3m (166)

a = 5.0270 Å, b = 5.0270 Å, c = 5.0270 Å
α = 116.95°, β = 116.95°, γ = 116.95°
Fractional positions:
1 Li 0.0000 0.0000 0.0000
2 Li 0.5000 0.5000 0.0000
3 P 0.0000 0.5000 0.5000
4 Li 0.5000 0.0000 0.5000



No. 3
Here is a relaxed structure of Dy8IrPt2 from Alexandria via LeMat-Bulk. Energies are from PBE.

Summary:
Total moment: 0.0 μB/cell
Relative energy among the computed polymorphs: 0.00 eV/f.u.
ΔE_f: -0.674 eV/atom
Space group: C2/m (12)

a = 4.9936 Å, b = 6.7560 Å, c = 9.0262 Å
α = 104.02°, β = 106.06°, γ = 90.00°
Fractional positions:
1 Dy 0.9669 0.2100 0.9338
2 Ir 0.5000 0.0000 0.0000
3 Dy 0.4103 0.5589 0.8205
4 Dy 0.6646 0.9701 0.3293
5 Dy 0.3354 0.0299 0.6707
6 Dy 0.0331 0.7900 0.0662
7 Pt 0.1903 0.7227 0.3806
8 Dy 0.2056 0.3188 0.4112
9 Pt 0.8097 0.2773 0.6194
10 Dy 0.5897 0.4411 0.1795
11 Dy 0.7944 0.6812 0.5888



No. 4
Here is a relaxed structure of Er3In3Ru2Rh from Alexandria via LeMat-Bulk. Energies are from PBE.

Summary:
Total moment: 0.0 μB/cell
ΔE_f: -0.496 eV/atom
Space group: P-62m (189)

a = 3.9199 Å, b = 7.4647 Å, c = 7.4647 Å
α = 120.00°, β = 90.00°, γ = 90.00°
Fractional positions:
1 In 0.5000 0.2596 0.2596
2 Ru 0.5000 0.6667 0.3333
3 Er 0.0000 0.0000 0.4068
4 Ru 0.5000 0.3333 0.6667
5 In 0.5000 0.0000 0.7404
6 Rh 0.0000 0.0000 0.0000
7 Er 0.0000 0.5932 0.5932
8 In 0.5000 0.7404 0.0000
9 Er 0.0000 0.4068 0.0000



No. 5
Here is a relaxed structure of Pu4AsP2N from Alexandria via LeMat-Bulk. Energies are from PBE.

Summary:
Total moment: 18.5 μB/cell
Uncorrected formation energy: -1010.6 meV/atom
Space group: Cmcm (63)

a = 3.9828 Å, b = 6.8203 Å, c = 13.7422 Å
α = 90.00°, β = 90.00°, γ = 106.98°
Fractional positions:
1 Pu 0.2706 0.5412 0.3721
2 P 0.3603 0.7207 0.5560
3 P 0.6397 0.2793 0.4440
4 Pu 0.4310 0.8619 0.7500
5 Pu 0.7294 0.4588 0.6279
6 Pu 0.5690 0.1381 0.2500
7 Pu 0.0000 0.0000 0.0000
8 Pu 0.7294 0.4588 0.8721
9 N 0.1609 0.3217 0.2500
10 P 0.3603 0.7207 0.9440
11 Pu 0.2706 0.5412 0.1279
12 Pu 0.0000 0.0000 0.5000
13 P 0.6397 0.2793 0.0560
14 As 0.1044 0.2089 0.7500
15 As 0.8956 0.7911 0.2500
16 N 0.8391 0.6783 0.7500



No. 6
Here is a relaxed structure of Pm4Pr2Y5 from Alexandria via LeMat-Bulk. Energies are from PBE.

Summary:
Total moment: 0.0 μB/cell
Relative energy among the computed polymorphs: 0.12 eV/f.u.
ΔE_f: 0.107 eV/atom
Space group: C2/m (12)

a = 3.5702 Å, b = 8.7410 Å, c = 14.5668 Å
α = 122.32°, β = 97.04°, γ = 90.00°
Fractional positions:
1 Pr 0.2752 0.3755 0.5503
2 Pm 0.5875 0.4796 0.1751
3 Y 0.8699 0.7889 0.7398
4 Y 0.1853 0.8997 0.3707
5 Pm 0.0403 0.7381 0.0806
6 Pm 0.9597 0.2619 0.9194
7 Y 0.5000 0.0000 0.0000
8 Y 0.1301 0.2111 0.2602
9 Pm 0.4125 0.5204 0.8249
10 Pr 0.7248 0.6245 0.4497
11 Y 0.8147 0.1003 0.6293



No. 7
Here is a relaxed structure of LiCeTl2I6 from Alexandria via LeMat-Bulk. Energies are from PBE.

Summary:
Total moment: 2.0 μB/cell
Uncorrected formation energy: -1032.8 meV/atom
Space group: P2_1/c (14)

a = 8.0952 Å, b = 8.6469 Å, c = 11.7367 Å
α = 90.00°, β = 90.92°, γ = 90.00°
Fractional positions:
1 Tl 0.4655 0.4083 0.2567
2 I 0.1835 0.1968 0.0544
3 I 0.6149 0.0234 0.2567
4 Tl 0.5345 0.5917 0.7433
5 I 0.3851 0.9766 0.7433
6 I 0.8096 0.8088 0.5552
7 Ce 0.0000 0.5000 0.5000
8 I 0.6904 0.3088 0.9448
9 Ce 0.5000 0.0000 0.0000
10 I 0.1149 0.4766 0.7567
11 Tl 0.0345 0.9083 0.2433
12 I 0.8165 0.8032 0.9456
13 I 0.8851 0.5234 0.2433
14 Tl 0.9655 0.0917 0.7567
15 I 0.3096 0.6912 0.0552
16 I 0.1904 0.1912 0.4448
17 Li 0.5000 0.0000 0.5000
18 Li 0.0000 0.5000 0.0000
19 I 0.3165 0.6968 0.4456
20 I 0.6835 0.3032 0.5544